Below is crystalline Pm4PuSn2 at its relaxed geometry, with properties calculated at the GGA-PBE level.

Calculated values
For the theoretical density, the calculation gives 7.94 g/cm³. The value obtained for the density of states at the Fermi level is 13.68 states/eV/f.u. As for the formation energy from the elements: -0.16 eV per formula unit. The total energy comes out at -83.00 eV per cell. As for the space-group type: No. 139.

a b c (Å): 5.835 5.835 13.034
angles (deg): 90.00 90.00 90.00
Fractional positions:
Pm 0.000 0.500 0.000
Pm 0.000 0.500 0.250
Pm 0.000 0.500 0.500
Pm 0.000 0.500 0.750
Pm 0.500 0.000 0.000
Pm 0.500 0.000 0.250
Pm 0.500 0.000 0.500
Pm 0.500 0.000 0.750
Pu 0.000 0.000 0.000
Pu 0.500 0.500 0.500
Sn 0.000 0.000 0.372
Sn 0.000 0.000 0.628
Sn 0.500 0.500 0.128
Sn 0.500 0.500 0.872

Below is crystalline Zr2Nb2Cu at its relaxed geometry, with properties calculated at the GGA-PBE level.

Calculated values
For the theoretical density, the calculation gives 7.21 g/cm³. The value obtained for the density of states at the Fermi level is 6.10 states/eV/f.u. As for the formation energy from the elements: 1.23 eV per formula unit. The total energy comes out at -80.20 eV per cell. As for the space-group type: No. 127.

a b c (Å): 6.952 6.952 4.118
angles (deg): 90.00 90.00 90.00
Fractional positions:
Zr 0.171 0.329 0.000
Zr 0.329 0.829 0.000
Zr 0.671 0.171 0.000
Zr 0.829 0.671 0.000
Nb 0.136 0.636 0.500
Nb 0.364 0.136 0.500
Nb 0.636 0.864 0.500
Nb 0.864 0.364 0.500
Cu 0.000 0.000 0.500
Cu 0.500 0.500 0.500

no.,magnetization (μB per cell)
1,12.69
2,0.00